An optimized crystal structure of La2Ga2Sn. Source: the Alexandria database, functional PBE-GGA.

Cell and atoms, written as POSCAR:
```
La2Ga2Sn
1.0
-1.9224 1.9224 9.7774
1.9224 -1.9224 9.7774
1.9224 1.9224 -9.7774
La Ga Sn
2 2 1
direct
0.1087 0.1087 0.0000
0.8913 0.8913 0.0000
0.2500 0.7500 0.5000
0.7500 0.2500 0.5000
0.5000 0.5000 0.0000
```

Energy relative to the lowest polymorph listed for this composition ... 250 meV/atom
ΔE_f ... -437 meV per atom

=====

An optimized crystal structure of LaGa2Sn. Source: the Alexandria database, functional PBE-GGA.

Cell and atoms, written as POSCAR:
```
LaGa2Sn
1.0
4.6306 0.0000 0.0000
0.0000 4.6306 0.0000
0.0000 0.0000 4.4740
La Ga Sn
1 2 1
direct
0.0000 0.0000 0.0000
0.0000 0.5000 0.5000
0.5000 0.0000 0.5000
0.5000 0.5000 0.0000
```

ΔE_f ... -531 meV per atom

=====

An optimized crystal structure of La4GaSn3. Source: the Alexandria database, functional PBE-GGA.

Cell and atoms, written as POSCAR:
```
La4GaSn3
1.0
4.4083 0.0000 0.0000
0.0000 4.7834 0.0000
0.0000 0.0000 11.8996
La Ga Sn
4 1 3
direct
0.0000 0.0000 0.0000
0.0000 0.5000 0.4892
0.5000 0.0000 0.7176
0.5000 0.5000 0.2199
0.0000 0.0000 0.2750
0.0000 0.5000 0.7686
0.5000 0.0000 0.4302
0.5000 0.5000 0.9413
```

ΔE_f ... -759 meV per atom

=====

An optimized crystal structure of La5Ga2Sn2. Source: the Alexandria database, functional PBE-GGA.

Cell and atoms, written as POSCAR:
```
La5Ga2Sn2
1.0
8.2126 -4.1881 0.0000
8.2126 4.1881 0.0000
0.0000 0.0000 8.3305
La Ga Sn
10 4 4
direct
0.0000 0.0000 0.0000
0.0427 0.6832 0.6748
0.1832 0.5427 0.1748
0.3168 0.9573 0.6748
0.4573 0.8168 0.1748
0.5000 0.5000 0.5000
0.5427 0.1832 0.8252
0.6832 0.0427 0.3252
0.8168 0.4573 0.8252
0.9573 0.3168 0.3252
0.1127 0.8873 0.3860
0.3873 0.6127 0.8860
0.6127 0.3873 0.1140
0.8873 0.1127 0.6140
0.2086 0.2086 0.0000
0.2914 0.2914 0.5000
0.7086 0.7086 0.5000
0.7914 0.7914 0.0000
```

ΔE_f ... -624 meV per atom